A relaxed structure of DyB2IrRu. Source: Alexandria via LeMat-Bulk, functional PBE.

Calculated values
The calculation puts the calculated formation energy at -60 kJ/mol of atoms. For the total energy, the calculation gives -7.8394 eV per atom. The total magnetic moment comes out at 0.000 μB per atom.

Cell lengths 3.9260, 3.9260, 5.4574 Å; angles 111.08, 111.08, 90.00 degrees
Positions (direct):
Dy (0.0000, 0.0000, 0.0000)
B (0.6598, 0.6598, 0.3196)
B (0.3402, 0.3402, 0.6804)
Ir (0.7500, 0.2500, 0.5000)
Ru (0.2500, 0.7500, 0.5000)

A relaxed structure of K2DyBO4. Source: Alexandria via LeMat-Bulk, functional PBE.

Calculated values
The value obtained for the formation energy from raw total energies is -2.05 eV per atom. For the total energy, the calculation gives -6.2147 eV per atom. The total magnetic moment comes out at 0.000 μB per atom.

Cell lengths 5.0692, 6.2165, 11.7868 Å; angles 84.97, 77.58, 65.94 degrees
Positions (direct):
K (0.1846, 0.0000, 0.6309)
K (0.8154, 0.0000, 0.3691)
K (0.5654, 0.5000, 0.8691)
K (0.9346, 0.5000, 0.1309)
Dy (0.7500, 0.5000, 0.5000)
Dy (0.0000, 0.0000, 0.0000)
B (0.2500, 0.5000, 0.5000)
B (0.5000, 0.0000, 0.0000)
O (0.3753, 0.8364, 0.0760)
O (0.2877, 0.1636, 0.9240)
O (0.7883, 0.8364, 0.9240)
O (0.5487, 0.1636, 0.0760)
O (0.3747, 0.6636, 0.4240)
O (0.4623, 0.3364, 0.5760)
O (0.9617, 0.6636, 0.5760)
O (0.2013, 0.3364, 0.4240)

A relaxed structure of K2DyB2S6. Source: Alexandria via LeMat-Bulk, functional PBE.

Calculated values
The value obtained for the formation energy from raw total energies is -0.96 eV per atom. For the total energy, the calculation gives -5.0481 eV per atom. The total magnetic moment comes out at 0.000 μB per atom.

Cell lengths 6.5945, 6.6575, 8.3106 Å; angles 114.60, 90.00, 119.69 degrees
Positions (direct):
K (0.7020, 0.4040, 0.1876)
K (0.2980, 0.5960, 0.8124)
Dy (0.5000, 0.0000, 0.5000)
B (0.9371, 0.8742, 0.7212)
B (0.0629, 0.1258, 0.2788)
S (0.7638, 0.5276, 0.6492)
S (0.2015, 0.9360, 0.2280)
S (0.2655, 0.0640, 0.7720)
S (0.7985, 0.0640, 0.7720)
S (0.7345, 0.9360, 0.2280)
S (0.2362, 0.4724, 0.3508)

A relaxed structure of KDy2B2S6. Source: Alexandria via LeMat-Bulk, functional PBE.

Calculated values
The value obtained for the formation energy from raw total energies is -1.22 eV per atom. For the total energy, the calculation gives -5.6247 eV per atom. The total magnetic moment comes out at 0.000 μB per atom.

Cell lengths 6.3946, 7.9826, 5.5803 Å; angles 98.40, 72.75, 89.76 degrees
Positions (direct):
K (0.5000, 0.0000, 0.5000)
Dy (0.7816, 0.5072, 0.7675)
Dy (0.2184, 0.4928, 0.2325)
B (0.2446, 0.6476, 0.7728)
B (0.7554, 0.3524, 0.2272)
S (0.4276, 0.7420, 0.9466)
S (0.7713, 0.5863, 0.2832)
S (0.0788, 0.7654, 0.6340)
S (0.2287, 0.4137, 0.7168)
S (0.9212, 0.2346, 0.3660)
S (0.5724, 0.2580, 0.0534)

A relaxed structure of LaDyB12. Source: Alexandria via LeMat-Bulk, functional PBE.

Calculated values
The calculation puts the calculated formation energy at -46 kJ/mol of atoms. For the total energy, the calculation gives -6.8860 eV per atom. The total magnetic moment comes out at 0.000 μB per atom.

Cell lengths 4.1253, 4.1253, 8.2490 Å; angles 90.00, 90.00, 90.00 degrees
Positions (direct):
La (0.0000, 0.0000, 0.5000)
Dy (0.0000, 0.0000, 0.0000)
B (0.1993, 0.5000, 0.2475)
B (0.1993, 0.5000, 0.7525)
B (0.5000, 0.5000, 0.3993)
B (0.5000, 0.5000, 0.9016)
B (0.5000, 0.1993, 0.2475)
B (0.5000, 0.1993, 0.7525)
B (0.5000, 0.5000, 0.0984)
B (0.5000, 0.5000, 0.6007)
B (0.5000, 0.8007, 0.2475)
B (0.5000, 0.8007, 0.7525)
B (0.8007, 0.5000, 0.2475)
B (0.8007, 0.5000, 0.7525)

A relaxed structure of LaDyB. Source: Alexandria via LeMat-Bulk, functional PBE.

Calculated values
The calculation puts the calculated formation energy at 15 kJ/mol of atoms. For the total energy, the calculation gives -5.2425 eV per atom. The total magnetic moment comes out at 0.000 μB per atom.

Cell lengths 5.5042, 8.9415, 6.5162 Å; angles 82.53, 65.02, 72.07 degrees
Positions (direct):
La (0.4489, 0.8323, 0.2700)
La (0.2811, 0.1677, 0.2700)
La (0.7189, 0.8323, 0.7300)
La (0.5511, 0.1677, 0.7300)
B (0.8697, 0.0000, 0.2605)
B (0.9492, 0.1015, 0.0000)
B (0.0508, 0.8985, 0.0000)
B (0.1303, 0.0000, 0.7395)
Dy (0.0582, 0.6216, 0.2619)
Dy (0.6799, 0.3784, 0.2619)
Dy (0.3201, 0.6216, 0.7381)
Dy (0.9418, 0.3784, 0.7381)

A relaxed structure of LaDy2B6. Source: Alexandria via LeMat-Bulk, functional PBE.

Calculated values
The calculation puts the calculated formation energy at -40 kJ/mol of atoms. For the total energy, the calculation gives -6.4337 eV per atom. The total magnetic moment comes out at 0.000 μB per atom.

Cell lengths 4.0194, 5.7292, 5.7291 Å; angles 120.00, 90.00, 90.00 degrees
Positions (direct):
La (0.0000, 0.0000, 0.0000)
Dy (0.0000, 0.3333, 0.6667)
Dy (0.0000, 0.6667, 0.3333)
B (0.5000, 0.3422, 0.3422)
B (0.5000, 0.6578, 0.6578)
B (0.5000, 0.0000, 0.6578)
B (0.5000, 0.6578, 0.0000)
B (0.5000, 0.3422, 0.0000)
B (0.5000, 0.0000, 0.3422)

A relaxed structure of La3DyB2N6. Source: Alexandria via LeMat-Bulk, functional PBE.

Calculated values
The value obtained for the formation energy from raw total energies is -1.26 eV per atom. For the total energy, the calculation gives -8.1466 eV per atom. The total magnetic moment comes out at 0.000 μB per atom.

Cell lengths 5.6564, 5.6564, 6.4663 Å; angles 90.00, 90.00, 120.00 degrees
Positions (direct):
La (0.3333, 0.6667, 0.6697)
La (0.6667, 0.3333, 0.3303)
La (0.0000, 0.0000, 0.0000)
Dy (0.0000, 0.0000, 0.5000)
B (0.6667, 0.3333, 0.7463)
B (0.3333, 0.6667, 0.2537)
N (0.6306, 0.8153, 0.2761)
N (0.1847, 0.3694, 0.2761)
N (0.1847, 0.8153, 0.2761)
N (0.8153, 0.6306, 0.7239)
N (0.3694, 0.1847, 0.7239)
N (0.8153, 0.1847, 0.7239)

A relaxed structure of La2DyB3Pt12. Source: Alexandria via LeMat-Bulk, functional PBE.

Calculated values
The calculation puts the calculated formation energy at -48 kJ/mol of atoms. For the total energy, the calculation gives -6.4370 eV per atom. The total magnetic moment comes out at 0.000 μB per atom.

Cell lengths 7.4822, 7.4822, 7.4822 Å; angles 65.31, 65.31, 65.31 degrees
Positions (direct):
La (0.5985, 0.5985, 0.5985)
La (0.4015, 0.4015, 0.4015)
Dy (0.0000, 0.0000, 0.0000)
B (0.5000, 0.0000, 0.0000)
B (0.0000, 0.5000, 0.0000)
B (0.0000, 0.0000, 0.5000)
Pt (0.3168, 0.3168, 0.9109)
Pt (0.8628, 0.8628, 0.4088)
Pt (0.4088, 0.8628, 0.8628)
Pt (0.9109, 0.3168, 0.3168)
Pt (0.8628, 0.4088, 0.8628)
Pt (0.3168, 0.9109, 0.3168)
Pt (0.6832, 0.6832, 0.0891)
Pt (0.1372, 0.1372, 0.5912)
Pt (0.5912, 0.1372, 0.1372)
Pt (0.0891, 0.6832, 0.6832)
Pt (0.1372, 0.5912, 0.1372)
Pt (0.6832, 0.0891, 0.6832)

A relaxed structure of LiDyB14. Source: Alexandria via LeMat-Bulk, functional PBE.

Calculated values
The calculation puts the calculated formation energy at -27 kJ/mol of atoms. For the total energy, the calculation gives -6.5345 eV per atom. The total magnetic moment comes out at 0.000 μB per atom.

Cell lengths 5.8744, 7.2617, 7.2617 Å; angles 69.11, 66.14, 66.14 degrees
Positions (direct):
Li (0.5000, 0.0000, 0.5000)
Li (0.0000, 0.0000, 0.5000)
Dy (0.2500, 0.3787, 0.1213)
Dy (0.7500, 0.6213, 0.8787)
B (0.6659, 0.3611, 0.3071)
B (0.3341, 0.6389, 0.6929)
B (0.1659, 0.8071, 0.8611)
B (0.8341, 0.1929, 0.1389)
B (0.1491, 0.2224, 0.4795)
B (0.8509, 0.7776, 0.5205)
B (0.6491, 0.9795, 0.7224)
B (0.3509, 0.0205, 0.2776)
B (0.0887, 0.0845, 0.7380)
B (0.9113, 0.9155, 0.2620)
B (0.5887, 0.2380, 0.5845)
B (0.4113, 0.7620, 0.4155)
B (0.7174, 0.6010, 0.2808)
B (0.5992, 0.3990, 0.7192)
B (0.2174, 0.7808, 0.1010)
B (0.0992, 0.2192, 0.8990)
B (0.2826, 0.3990, 0.7192)
B (0.4008, 0.6010, 0.2808)
B (0.7826, 0.2192, 0.8990)
B (0.9008, 0.7808, 0.1010)
B (0.3299, 0.9667, 0.8735)
B (0.1701, 0.0333, 0.1265)
B (0.8299, 0.3735, 0.4667)
B (0.6701, 0.6265, 0.5333)
B (0.6701, 0.0333, 0.1265)
B (0.8299, 0.9667, 0.8735)
B (0.1701, 0.6265, 0.5333)
B (0.3299, 0.3735, 0.4667)

A relaxed structure of LiDyB4. Source: Alexandria via LeMat-Bulk, functional PBE.

Calculated values
The calculation puts the calculated formation energy at -39 kJ/mol of atoms. For the total energy, the calculation gives -5.9387 eV per atom. Its energy above the most stable polymorph in this dataset is 0 meV/atom. The total magnetic moment comes out at 0.000 μB per atom.

Cell lengths 3.6266, 5.9432, 11.3417 Å; angles 90.00, 90.00, 90.00 degrees
Positions (direct):
Li (0.0000, 0.6289, 0.0848)
Li (0.0000, 0.3711, 0.9152)
Li (0.0000, 0.1289, 0.4152)
Li (0.0000, 0.8711, 0.5848)
Dy (0.0000, 0.6249, 0.3486)
Dy (0.0000, 0.3751, 0.6514)
Dy (0.0000, 0.1249, 0.1514)
Dy (0.0000, 0.8751, 0.8486)
B (0.5000, 0.7852, 0.1865)
B (0.5000, 0.2148, 0.8135)
B (0.5000, 0.2852, 0.3135)
B (0.5000, 0.7148, 0.6865)
B (0.5000, 0.8666, 0.0296)
B (0.5000, 0.1334, 0.9704)
B (0.5000, 0.3666, 0.4704)
B (0.5000, 0.6334, 0.5296)
B (0.5000, 0.8847, 0.4547)
B (0.5000, 0.1153, 0.5453)
B (0.5000, 0.3847, 0.0453)
B (0.5000, 0.6153, 0.9547)
B (0.5000, 0.9744, 0.3069)
B (0.5000, 0.0256, 0.6931)
B (0.5000, 0.4744, 0.1931)
B (0.5000, 0.5256, 0.8069)

A relaxed structure of LiDyB4. Source: Alexandria via LeMat-Bulk, functional PBE.

Calculated values
The calculation puts the calculated formation energy at 42 kJ/mol of atoms. For the total energy, the calculation gives -5.1006 eV per atom. Its energy above the most stable polymorph in this dataset is 838 meV/atom. The total magnetic moment comes out at 0.000 μB per atom.

Cell lengths 4.5558, 4.5558, 4.5558 Å; angles 60.00, 60.00, 60.00 degrees
Positions (direct):
B (0.5950, 0.5950, 0.2151)
B (0.5950, 0.2151, 0.5950)
B (0.5950, 0.5950, 0.5950)
B (0.2151, 0.5950, 0.5950)
Li (0.0000, 0.0000, 0.0000)
Dy (0.2500, 0.2500, 0.2500)

A relaxed structure of LiDy2Ni12B3. Source: Alexandria via LeMat-Bulk, functional PBE.

Calculated values
The calculation puts the calculated formation energy at -4 kJ/mol of atoms. For the total energy, the calculation gives -5.6311 eV per atom. The total magnetic moment comes out at 0.000 μB per atom.

Cell lengths 6.5954, 6.5954, 6.5954 Å; angles 66.73, 66.73, 66.73 degrees
Positions (direct):
Li (0.0000, 0.0000, 0.0000)
Dy (0.6016, 0.6016, 0.6016)
Dy (0.3984, 0.3984, 0.3984)
Ni (0.2806, 0.2806, 0.8783)
Ni (0.8688, 0.8688, 0.3891)
Ni (0.3891, 0.8688, 0.8688)
Ni (0.8783, 0.2806, 0.2806)
Ni (0.8688, 0.3891, 0.8688)
Ni (0.2806, 0.8783, 0.2806)
Ni (0.7194, 0.7194, 0.1217)
Ni (0.1312, 0.1312, 0.6109)
Ni (0.6109, 0.1312, 0.1312)
Ni (0.1217, 0.7194, 0.7194)
Ni (0.1312, 0.6109, 0.1312)
Ni (0.7194, 0.1217, 0.7194)
B (0.5000, 0.0000, 0.0000)
B (0.0000, 0.5000, 0.0000)
B (0.0000, 0.0000, 0.5000)

A relaxed structure of LiDy2B2Rh5. Source: Alexandria via LeMat-Bulk, functional PBE.

Calculated values
The calculation puts the calculated formation energy at -65 kJ/mol of atoms. For the total energy, the calculation gives -6.8016 eV per atom. The total magnetic moment comes out at 0.000 μB per atom.

Cell lengths 3.1873, 9.4869, 9.4869 Å; angles 90.00, 90.00, 90.00 degrees
Positions (direct):
Li (0.0000, 0.0000, 0.0000)
Li (0.0000, 0.5000, 0.5000)
Dy (0.0000, 0.6755, 0.1755)
Dy (0.0000, 0.3245, 0.8245)
Dy (0.0000, 0.1755, 0.3245)
Dy (0.0000, 0.8245, 0.6755)
B (0.0000, 0.1254, 0.6254)
B (0.0000, 0.8746, 0.3746)
B (0.0000, 0.6254, 0.8746)
B (0.0000, 0.3746, 0.1254)
Rh (0.5000, 0.2196, 0.0701)
Rh (0.5000, 0.7804, 0.9299)
Rh (0.5000, 0.0701, 0.7804)
Rh (0.5000, 0.7196, 0.4299)
Rh (0.5000, 0.9299, 0.2196)
Rh (0.5000, 0.2804, 0.5701)
Rh (0.5000, 0.5701, 0.7196)
Rh (0.5000, 0.4299, 0.2804)
Rh (0.5000, 0.5000, 0.0000)
Rh (0.5000, 0.0000, 0.5000)

A relaxed structure of Li2DyBS4. Source: Alexandria via LeMat-Bulk, functional PBE.

Calculated values
The value obtained for the formation energy from raw total energies is -1.09 eV per atom. For the total energy, the calculation gives -5.0386 eV per atom. The total magnetic moment comes out at 0.000 μB per atom.

Cell lengths 7.5638, 7.5638, 7.7310 Å; angles 114.74, 114.74, 98.70 degrees
Positions (direct):
Li (0.5000, 0.0000, 0.0000)
Li (0.5000, 0.0000, 0.5000)
Li (0.0000, 0.0000, 0.5000)
Li (0.5000, 0.5000, 0.0000)
Dy (0.0000, 0.5000, 0.0000)
Dy (0.0000, 0.5000, 0.5000)
B (0.5000, 0.5000, 0.5000)
B (0.0000, 0.0000, 0.0000)
S (0.2838, 0.7024, 0.9626)
S (0.7976, 0.2162, 0.5374)
S (0.2024, 0.7838, 0.4626)
S (0.7162, 0.2976, 0.0374)
S (0.8542, 0.8518, 0.0447)
S (0.6482, 0.6458, 0.4553)
S (0.3518, 0.3542, 0.5447)
S (0.1458, 0.1482, 0.9553)

A relaxed structure of DyLuB4. Source: Alexandria via LeMat-Bulk, functional PBE.

Calculated values
The calculation puts the calculated formation energy at 26 kJ/mol of atoms. For the total energy, the calculation gives -5.6991 eV per atom. The total magnetic moment comes out at 0.000 μB per atom.

Cell lengths 4.7096, 4.7096, 4.7096 Å; angles 60.00, 60.00, 60.00 degrees
Positions (direct):
B (0.5943, 0.5943, 0.2171)
B (0.5943, 0.2171, 0.5943)
B (0.5943, 0.5943, 0.5943)
B (0.2171, 0.5943, 0.5943)
Lu (0.2500, 0.2500, 0.2500)
Dy (0.0000, 0.0000, 0.0000)

A relaxed structure of DyMg2B6. Source: Alexandria via LeMat-Bulk, functional PBE.

Calculated values
The calculation puts the calculated formation energy at -26 kJ/mol of atoms. For the total energy, the calculation gives -5.5858 eV per atom. The total magnetic moment comes out at 0.000 μB per atom.

Cell lengths 3.6806, 5.4542, 5.4542 Å; angles 120.00, 90.00, 90.00 degrees
Positions (direct):
Dy (0.0000, 0.0000, 0.0000)
Mg (0.0000, 0.3333, 0.6667)
Mg (0.0000, 0.6667, 0.3333)
B (0.5000, 0.3384, 0.3384)
B (0.5000, 0.6616, 0.6616)
B (0.5000, 0.0000, 0.6616)
B (0.5000, 0.6616, 0.0000)
B (0.5000, 0.3384, 0.0000)
B (0.5000, 0.0000, 0.3384)

A relaxed structure of Dy3MgB. Source: Alexandria via LeMat-Bulk, functional PBE.

Calculated values
The calculation puts the calculated formation energy at -1 kJ/mol of atoms. For the total energy, the calculation gives -4.4252 eV per atom. The total magnetic moment comes out at 0.300 μB per atom.

Cell lengths 5.1000, 5.1000, 5.1000 Å; angles 90.00, 90.00, 90.00 degrees
Each line ends with the local moment (μB).
Positions (direct):
Mg (0.5000, 0.5000, 0.5000)  0.04
B (0.0000, 0.0000, 0.0000)  0.02
Dy (0.0000, 0.5000, 0.0000)  0.23
Dy (0.0000, 0.0000, 0.5000)  0.23
Dy (0.5000, 0.0000, 0.0000)  0.23